A geometry-optimized Mg2AlCdH structure, computed with GGA-PBE.

Calculated values
**SG**: P4/mmm (123)
**Total moment**: 0.0 Bohr magnetons per cell
**Energy**: -2.17 eV per atom
**D(E_F)**: 0.302 states/eV/atom

Cell: 4.3959 4.3959 4.3058 Å, 90.00 90.00 90.00°
With the nearest neighbours (Å) after each atom.
Positions (direct):
H: 0.0000 0.0000 0.0000  2 Al 2.15, 4 Mg 2.20
Mg: 0.0000 0.5000 0.0000  2 H 2.20
Mg: 0.5000 0.0000 0.0000  2 H 2.20
Al: 0.0000 0.0000 0.5000  2 H 2.15
Cd: 0.5000 0.5000 0.5000  8 Mg 3.08, 4 Al 3.11


A geometry-optimized PuPaCrCu structure, computed with GGA-PBE.

Calculated values
**Energy relative to the elements**: 0.05 eV/atom
**SG**: F-43m (216)
**Total moment**: 2.1 Bohr magnetons per cell
**Energy**: -9.34 eV per atom
**D(E_F)**: 1.073 states/eV/atom

Cell: 4.6529 4.6529 4.6529 Å, 60.00 60.00 60.00°
With the nearest neighbours (Å) after each atom.
Positions (direct):
Cr: 0.0000 0.0000 0.0000  4 Cu 2.85, 4 Pa 2.85
Pa: 0.2500 0.2500 0.2500  4 Cr 2.85, 4 Pu 2.85
Cu: 0.7500 0.7500 0.7500  4 Pu 2.85, 4 Cr 2.85
Pu: 0.5000 0.5000 0.5000  4 Pa 2.85, 4 Cu 2.85


A geometry-optimized KBeFe2 structure, computed with GGA-PBE.

Calculated values
**Energy relative to the elements**: 1.33 eV/atom
**SG**: I-4m2 (119)
**Total moment**: 5.0 Bohr magnetons per cell
**Energy**: -4.11 eV per atom
**D(E_F)**: 0.533 states/eV/atom

Cell: 4.7306 4.7306 4.7306 Å, 127.94 127.94 76.72°
With the nearest neighbours (Å) after each atom.
Positions (direct):
Be: 0.7500 0.2500 0.5000  4 K 2.78, 8 Fe 2.78-2.94
K: 0.5000 0.5000 0.0000  8 Fe 2.78-2.94, 4 Be 2.78
Fe: 0.0000 0.0000 0.0000  4 Be 2.78, 4 Fe 2.78, 4 K 2.94
Fe: 0.2500 0.7500 0.5000  4 Fe 2.78, 4 K 2.78, 4 Be 2.94


Q: Among the records above, which one has the lowest energy?
A: PuPaCrCu


Q: Among the records above, which one has the highest energy?
A: Mg2AlCdH